DFT (PBE) results for an optimized crystal structure of K2PrBrO2.

E_form (uncorrected), eV/atom: -2.086
Electronic total energy, eV for the cell shown: -31.079
Space-group type: P4/mmm (123)

Cell lengths 4.6894, 4.6894, 6.6925 Å; angles 90.00, 90.00, 90.00 degrees
With the nearest neighbours (Å) after each atom.
Fractional coordinates of all 6 atoms:
1 O 0.5000 0.0000 0.0000  2 Pr 2.34
2 O 0.0000 0.5000 0.0000  2 Pr 2.34
3 K 0.5000 0.5000 0.2380  4 O 2.83
4 K 0.5000 0.5000 0.7620  4 O 2.83
5 Br 0.0000 0.0000 0.5000  2 Pr 3.35
6 Pr 0.0000 0.0000 0.0000  4 O 2.34

---

DFT (PBE) results for an optimized crystal structure of KPtBr2O.

E_form (uncorrected), eV/atom: -0.729
Electronic total energy, eV for the cell shown: -19.086
Space-group type: P4/mmm (123)

Cell lengths 5.5863, 5.5863, 3.8186 Å; angles 90.00, 90.00, 90.00 degrees
With the nearest neighbours (Å) after each atom.
Fractional coordinates of all 5 atoms:
1 K 0.5000 0.5000 0.5000  8 Br 3.38
2 Pt 0.0000 0.0000 0.0000  2 O 1.91
3 Br 0.5000 0.0000 0.0000  2 Pt 2.79
4 Br 0.0000 0.5000 0.0000  2 Pt 2.79
5 O 0.0000 0.0000 0.5000  2 Pt 1.91

---

DFT (PBE) results for an optimized crystal structure of K2PtBr4O2.

E_form (uncorrected), eV/atom: -0.387
Electronic total energy, eV for the cell shown: -56.659
Space-group type: Pbam (55)

Cell lengths 4.5019, 8.9717, 12.5146 Å; angles 90.00, 90.00, 90.00 degrees
With the nearest neighbours (Å) after each atom.
Fractional coordinates of all 18 atoms:
1 O 0.5000 0.3464 0.8456  2 K 2.75-2.78, 4 Br 2.76-3.08
2 O 0.5000 0.1536 0.3456  2 K 2.75-2.78, 4 Br 2.76-3.08
3 O 0.5000 0.6536 0.1544  2 K 2.75-2.78, 4 Br 2.76-3.08
4 O 0.5000 0.8464 0.6544  2 K 2.75-2.78, 4 Br 2.76-3.08
5 K 0.5000 0.1548 0.6738  2 O 2.75-2.78
6 K 0.5000 0.3452 0.1738  2 O 2.75-2.78
7 K 0.5000 0.8452 0.3262  2 O 2.75-2.78
8 K 0.5000 0.6548 0.8262  2 O 2.75-2.78
9 Br 0.0000 0.7662 0.5401  1 Pt 2.44
10 Br 0.0000 0.9395 0.8086  1 Pt 2.46
11 Br 0.0000 0.7338 0.0401  1 Pt 2.44
12 Br 0.0000 0.2338 0.4599  1 Pt 2.44
13 Br 0.0000 0.4395 0.6914  1 Pt 2.46
14 Br 0.0000 0.2662 0.9599  1 Pt 2.44
15 Br 0.0000 0.0605 0.1914  1 Pt 2.46
16 Br 0.0000 0.5605 0.3086  1 Pt 2.46
17 Pt 0.0000 0.5000 0.5000  4 Br 2.44-2.46
18 Pt 0.0000 0.0000 0.0000  4 Br 2.44-2.46

---

DFT (PBE) results for an optimized crystal structure of K2PuBrO6.

E_form (uncorrected), eV/atom: -1.544
Electronic total energy, eV for the cell shown: -63.386
Space-group type: I4/mmm (139)

Cell lengths 5.7791, 5.7793, 6.4675 Å; angles 63.47, 63.47, 90.00 degrees
With the nearest neighbours (Å) after each atom.
Fractional coordinates of all 10 atoms:
1 O 0.7444 0.7439 0.9992  1 Br 1.99, 1 Pu 2.09
2 O 0.2556 0.2561 0.0008  1 Br 1.99, 1 Pu 2.09
3 O 0.1869 0.1869 0.6269  1 Pu 1.87
4 O 0.8131 0.8131 0.3731  1 Pu 1.87
5 O 0.7435 0.2560 0.0000  1 Br 1.99, 1 Pu 2.09
6 O 0.2565 0.7440 0.0000  1 Br 1.99, 1 Pu 2.09
7 Pu 0.0000 0.0000 0.0000  6 O 1.87-2.09
8 K 0.7502 0.2499 0.4999  12 O 2.96-3.24
9 K 0.2498 0.7501 0.5001  12 O 2.96-3.24
10 Br 0.5000 0.5000 0.0000  4 O 1.99

---

DFT (PBE) results for an optimized crystal structure of K2PuBrO2.

E_form (uncorrected), eV/atom: -1.991
Electronic total energy, eV for the cell shown: -40.062
Space-group type: P4/mmm (123)

Cell lengths 4.4950, 4.4950, 6.9502 Å; angles 90.00, 90.00, 90.00 degrees
With the nearest neighbours (Å) after each atom.
Fractional coordinates of all 6 atoms:
1 Pu 0.0000 0.0000 0.0000  4 O 2.25
2 K 0.5000 0.5000 0.2488  4 O 2.84
3 K 0.5000 0.5000 0.7512  4 O 2.84
4 Br 0.0000 0.0000 0.5000  2 Pu 3.48, 8 K 3.63
5 O 0.5000 0.0000 0.0000  2 Pu 2.25
6 O 0.0000 0.5000 0.0000  2 Pu 2.25

---

DFT (PBE) results for an optimized crystal structure of KPu2BrO4.

E_form (uncorrected), eV/atom: -2.345
Electronic total energy, eV for the cell shown: -70.026
Space-group type: P4/mmm (123)

Cell lengths 3.9743, 3.9743, 9.9659 Å; angles 90.00, 90.00, 90.00 degrees
With the nearest neighbours (Å) after each atom.
Fractional coordinates of all 8 atoms:
1 Pu 0.5000 0.5000 0.2706  4 O 2.12
2 Pu 0.5000 0.5000 0.7294  4 O 2.12
3 K 0.0000 0.0000 0.0000  8 O 2.80
4 O 0.0000 0.5000 0.1973  2 Pu 2.12
5 O 0.0000 0.5000 0.8027  2 Pu 2.12
6 O 0.5000 0.0000 0.1973  2 Pu 2.12
7 O 0.5000 0.0000 0.8027  2 Pu 2.12
8 Br 0.0000 0.0000 0.5000  8 O 3.61, 8 Pu 3.62, 4 Br 3.97